Material: InGa2CuNi
Method: DFT, PBE-GGA
State: optimized geometry

The structure belongs to space group P4/mmm (No. 123); the cell edges are 4.5168, 4.5168 and 4.7628 Å and the angles 90.00°, 90.00° and 90.00°. The distinct sites, in fractional coordinates, are In at (0.0000, 0.0000, 0.0000), Ga at (0.0000, 0.5000, 0.5000), Cu at (0.5000, 0.5000, 0.0000) and Ni at (0.5000, 0.5000, 0.5000).

As for the crystal system: tetragonal. As for the calculated total energy: -0.133 hartree per atom.

---

Material: PaInGaCu
Method: DFT, PBE-GGA
State: optimized geometry

The structure belongs to space group F-43m (No. 216); the cell edges are 6.8314, 6.8314 and 6.8314 Å and the angles 90.00°, 90.00° and 90.00°. The distinct sites, in fractional coordinates, are Pa at (0.0000, 0.0000, 0.0000), In at (0.0000, 0.0000, 0.5000), Ga at (0.2500, 0.2500, 0.2500) and Cu at (0.2500, 0.2500, 0.7500).

As for the crystal system: cubic. As for the calculated total energy: -0.181 hartree per atom.

---

Material: In2GaCuPb
Method: DFT, PBE-GGA
State: optimized geometry

The structure belongs to space group P4/mmm (No. 123); the cell edges are 5.2489, 5.2489 and 4.6519 Å and the angles 90.00°, 90.00° and 90.00°. The distinct sites, in fractional coordinates, are In at (0.0000, 0.5000, 0.0000), Ga at (0.0000, 0.0000, 0.5000), Cu at (0.0000, 0.0000, 0.0000) and Pb at (0.5000, 0.5000, 0.5000).

As for the crystal system: tetragonal. As for the calculated total energy: -0.115 hartree per atom.

---

Material: InGaCu2Pd
Method: DFT, PBE-GGA
State: optimized geometry

The structure belongs to space group P4/mmm (No. 123); the cell edges are 4.8020, 4.8020 and 4.6585 Å and the angles 90.00°, 90.00° and 90.00°. The distinct sites, in fractional coordinates, are In at (0.0000, 0.0000, 0.0000), Ga at (0.5000, 0.5000, 0.0000), Cu at (0.0000, 0.5000, 0.5000) and Pd at (0.5000, 0.5000, 0.5000).

As for the crystal system: tetragonal. As for the calculated total energy: -0.128 hartree per atom.

---

Material: InGaCuPd
Method: DFT, PBE-GGA
State: optimized geometry

The structure belongs to space group F-43m (No. 216); the cell edges are 6.3887, 6.3887 and 6.3887 Å and the angles 90.00°, 90.00° and 90.00°. The distinct sites, in fractional coordinates, are In at (0.0000, 0.0000, 0.0000), Ga at (0.0000, 0.0000, 0.5000), Cu at (0.2500, 0.2500, 0.2500) and Pd at (0.2500, 0.2500, 0.7500).

As for the crystal system: cubic. As for the calculated total energy: -0.145 hartree per atom.

---

Material: In2Ga2CuPd5
Method: DFT, PBE-GGA
State: optimized geometry

The structure belongs to space group P4/mbm (No. 127); the cell edges are 10.3146, 10.3146 and 3.1887 Å and the angles 90.00°, 90.00° and 90.00°. The distinct sites, in fractional coordinates, are In at (0.1582, 0.3418, 0.0000), Ga at (0.1387, 0.6387, 0.0000), Cu at (0.0000, 0.0000, 0.0000), Pd at (0.0000, 0.5000, 0.5000) and Pd at (0.1167, 0.8319, 0.5000).

As for the crystal system: tetragonal. As for the calculated total energy: -0.166 hartree per atom.

---

Material: PmInGaCu
Method: DFT, PBE-GGA
State: optimized geometry

The structure belongs to space group F-43m (No. 216); the cell edges are 6.9420, 6.9420 and 6.9420 Å and the angles 90.00°, 90.00° and 90.00°. The distinct sites, in fractional coordinates, are Pm at (0.0000, 0.0000, 0.0000), In at (0.0000, 0.0000, 0.5000), Ga at (0.2500, 0.2500, 0.2500) and Cu at (0.2500, 0.2500, 0.7500).

As for the crystal system: cubic. As for the calculated total energy: -0.146 hartree per atom.

---

Material: PuInGaCu
Method: DFT, PBE-GGA
State: optimized geometry

The structure belongs to space group F-43m (No. 216); the cell edges are 6.8423, 6.8423 and 6.8423 Å and the angles 90.00°, 90.00° and 90.00°. The distinct sites, in fractional coordinates, are Pu at (0.0000, 0.0000, 0.0000), In at (0.0000, 0.0000, 0.5000), Ga at (0.2500, 0.2500, 0.7500) and Cu at (0.2500, 0.2500, 0.2500).

As for the crystal system: cubic. As for the calculated total energy: -0.228 hartree per atom.

---

Material: Pu2InGa3Cu4
Method: DFT, PBE-GGA
State: optimized geometry

The structure belongs to space group P-4m2 (No. 115); the cell edges are 4.1685, 4.1685 and 10.6037 Å and the angles 90.00°, 90.00° and 90.00°. The distinct sites, in fractional coordinates, are Pu at (0.0000, 0.5000, 0.2352), In at (0.0000, 0.0000, 0.5000), Ga at (0.0000, 0.5000, 0.8740), Ga at (0.5000, 0.5000, 0.5000), Cu at (0.0000, 0.0000, 0.0000), Cu at (0.0000, 0.5000, 0.6480) and Cu at (0.5000, 0.5000, 0.0000).

As for the crystal system: tetragonal. As for the calculated total energy: -0.215 hartree per atom.

---

Material: Pu2InGa4Cu3
Method: DFT, PBE-GGA
State: optimized geometry

The structure belongs to space group P-4m2 (No. 115); the cell edges are 4.1861, 4.1861 and 10.7380 Å and the angles 90.00°, 90.00° and 90.00°. The distinct sites, in fractional coordinates, are Pu at (0.0000, 0.5000, 0.2351), In at (0.0000, 0.0000, 0.5000), Ga at (0.0000, 0.0000, 0.0000), Ga at (0.0000, 0.5000, 0.6554), Ga at (0.5000, 0.5000, 0.0000), Cu at (0.0000, 0.5000, 0.8765) and Cu at (0.5000, 0.5000, 0.5000).

As for the crystal system: tetragonal. As for the calculated total energy: -0.213 hartree per atom.

---

Material: InGaCu2Rh
Method: DFT, PBE-GGA
State: optimized geometry

The structure belongs to space group P4/mmm (No. 123); the cell edges are 4.4381, 4.4381 and 4.6469 Å and the angles 90.00°, 90.00° and 90.00°. The distinct sites, in fractional coordinates, are In at (0.0000, 0.0000, 0.0000), Ga at (0.5000, 0.5000, 0.5000), Cu at (0.0000, 0.5000, 0.5000) and Rh at (0.5000, 0.5000, 0.0000).

As for the crystal system: tetragonal. As for the calculated total energy: -0.142 hartree per atom.

---

Material: InGa2CuSb
Method: DFT, PBE-GGA
State: optimized geometry

The structure belongs to space group P4/mmm (No. 123); the cell edges are 5.2422, 5.2422 and 6.0511 Å and the angles 90.00°, 90.00° and 90.00°. The distinct sites, in fractional coordinates, are In at (0.0000, 0.0000, 0.0000), Ga at (0.0000, 0.5000, 0.5000), Cu at (0.5000, 0.5000, 0.0000) and Sb at (0.0000, 0.0000, 0.5000).

As for the crystal system: tetragonal. The calculation puts the formation energy (no corrections) at 0.862 eV/atom.

---

Let's list total magnetic moment in order: 0.000, 0.000, 0.000, 0.000, 0.000, 0.000, 0.000, 1.360, 1.096, 1.113, 0.000, 0.000 μB per atom.